1.
Li2BeRu after structural relaxation, computed with GGA-PBE.

Computed properties:
calculated volume = 52 Å³/cell
formation energy from the elements = 0.23 eV per atom

Lattice parameters (Å, degrees): 9.1299 9.1299 9.1299 16.30 16.30 16.30
Positions (direct):
Ru  0.2500  0.2500  0.2500
Be  0.7500  0.7500  0.7500
Li  0.4999  0.4999  0.4999
Li  0.0001  0.0001  0.0001



2.
PaB2C2 after structural relaxation, computed with GGA-PBE.

Computed properties:
calculated volume = 103 Å³/cell
formation energy from the elements = -0.32 eV per atom

Lattice parameters (Å, degrees): 5.2249 5.2254 5.3703 121.01 121.01 86.62
Positions (direct):
B  0.1357  0.1357  0.7715
Pa  0.2500  0.7500  0.0000
B  0.3642  0.3639  0.5000
C  0.8381  0.8378  0.5000
B  0.8643  0.8643  0.2285
C  0.3379  0.3379  0.1759
C  0.6621  0.6621  0.8241
B  0.6358  0.6361  0.5000
Pa  0.7500  0.2500  0.0000
C  0.1619  0.1622  0.5000



3.
K2RbSnAu after structural relaxation, computed with GGA-PBE.

Computed properties:
calculated volume = 246 Å³/cell
energy above the most stable polymorph in this dataset = 97 meV per atom
formation energy from the elements = -0.05 eV per atom

Lattice parameters (Å, degrees): 6.8530 6.8530 5.2334 90.00 90.00 90.00
Positions (direct):
K  0.0000  0.5000  0.0000
K  0.5000  0.0000  0.0000
Sn  0.0000  0.0000  0.0000
Rb  0.5000  0.5000  0.5000
Au  0.0000  0.0000  0.5000



4.
NdEr2Ir after structural relaxation, computed with GGA-PBE.

Computed properties:
calculated volume = 106 Å³/cell
energy above the most stable polymorph in this dataset = 100 meV per atom
formation energy from the elements = -0.46 eV per atom

Lattice parameters (Å, degrees): 3.4650 3.4650 8.8654 90.00 90.00 90.00
Positions (direct):
Nd  0.5000  0.5000  0.5000
Er  0.0000  0.0000  0.1823
Er  0.0000  0.0000  0.8177
Ir  0.5000  0.5000  0.0000



5.
Rb2Cd5Pb4 after structural relaxation, computed with GGA-PBE.

Computed properties:
calculated volume = 384 Å³/cell
formation energy from the elements = 0.00 eV per atom

Lattice parameters (Å, degrees): 6.9110 6.6908 10.2880 80.01 70.37 58.91
Positions (direct):
Cd  0.5000  0.0000  0.0000
Cd  0.7500  0.5000  0.5000
Cd  0.2500  0.5000  0.5000
Rb  0.8640  0.0000  0.2721
Pb  0.2156  0.3151  0.2536
Rb  0.1360  0.0000  0.7279
Pb  0.7844  0.6849  0.7464
Pb  0.5307  0.6849  0.2536
Pb  0.4693  0.3151  0.7464
Cd  0.0000  0.5000  0.0000
Cd  0.5000  0.5000  0.0000



6.
SbMo3H after structural relaxation, computed with GGA-PBE.

Computed properties:
calculated volume = 70 Å³/cell
energy above the most stable polymorph in this dataset = 0 meV per atom

Lattice parameters (Å, degrees): 4.1167 4.1167 4.1167 90.00 90.00 90.00
Positions (direct):
H  0.0000  0.0000  0.0000
Sb  0.5000  0.5000  0.5000
Mo  0.0000  0.0000  0.5000
Mo  0.0000  0.5000  0.0000
Mo  0.5000  0.0000  0.0000



7.
LaHf2Pd2 after structural relaxation, computed with GGA-PBE.

Computed properties:
calculated volume = 217 Å³/cell
energy above the most stable polymorph in this dataset = 117 meV per atom
formation energy from the elements = -0.39 eV per atom

Lattice parameters (Å, degrees): 8.0414 8.0414 3.3485 90.00 90.00 90.00
Positions (direct):
La  0.5000  0.5000  0.0000
Hf  0.3426  0.1574  0.5000
Hf  0.6574  0.8426  0.5000
Hf  0.8426  0.3426  0.5000
Pd  0.3755  0.8755  0.0000
Pd  0.6245  0.1245  0.0000
La  0.0000  0.0000  0.0000
Hf  0.1574  0.6574  0.5000
Pd  0.1245  0.3755  0.0000
Pd  0.8755  0.6245  0.0000



8.
Ac9Ir2Pt4 after structural relaxation, computed with GGA-PBE.

Computed properties:
calculated volume = 1058 Å³/cell
formation energy from the elements = -0.88 eV per atom

Lattice parameters (Å, degrees): 7.5883 7.5922 21.2024 89.97 90.01 60.03
Positions (direct):
Ac  0.3102  0.9998  0.2500
Ac  0.3280  0.0128  0.5845
Ac  0.9862  0.6736  0.9156
Pt  0.3345  0.3332  0.6731
Ac  0.3110  0.6890  0.7500
Ac  0.6723  0.3419  0.9155
Ir  0.9997  0.0012  0.8409
Ac  0.6898  0.0002  0.7500
Pt  0.6670  0.6667  0.0067
Ac  0.3416  0.9862  0.9155
Pt  0.3342  0.3333  0.4936
Pt  0.6658  0.6667  0.5064
Ac  0.6584  0.0138  0.0845
Ac  0.9864  0.3418  0.4157
Ir  0.0011  0.9981  0.6592
Ac  0.0136  0.6582  0.5843
Pt  0.3323  0.3340  0.1737
Pt  0.6655  0.6668  0.3269
Pt  0.6677  0.6660  0.8263
Ac  0.0138  0.3264  0.0844
Ir  0.9989  0.0019  0.3408
Ac  0.6604  0.3266  0.5845
Ac  0.6890  0.3110  0.2500
Pt  0.3330  0.3333  0.9933
Ac  0.0018  0.3104  0.7501
Ac  0.3277  0.6581  0.0845
Ac  0.3396  0.6734  0.4155
Ac  0.6720  0.9872  0.4155
Ir  0.0003  0.9988  0.1591
Ac  0.9982  0.6896  0.2499



9.
SrZr3Be after structural relaxation, computed with GGA-PBE.

Computed properties:
calculated volume = 133 Å³/cell
energy above the most stable polymorph in this dataset = 1682 meV per atom
formation energy from the elements = 2.19 eV per atom

Lattice parameters (Å, degrees): 5.1086 5.1086 5.1086 90.00 90.00 90.00
Positions (direct):
Zr  0.5000  0.0000  0.0000
Sr  0.0000  0.0000  0.0000
Zr  0.0000  0.5000  0.0000
Zr  0.0000  0.0000  0.5000
Be  0.5000  0.5000  0.5000



10.
CsB2Pt2 after structural relaxation, computed with GGA-PBE.

Computed properties:
calculated volume = 121 Å³/cell
energy above the most stable polymorph in this dataset = 0 meV per atom
formation energy from the elements = 0.02 eV per atom

Lattice parameters (Å, degrees): 4.2835 4.2835 7.2516 72.82 72.82 90.00
Positions (direct):
Pt  0.7387  0.7387  0.5226
B  0.7500  0.2500  0.5000
B  0.2500  0.7500  0.5000
Pt  0.2613  0.2613  0.4774
Cs  0.0000  0.0000  0.0000



11.
Cd2FeSb2 after structural relaxation, computed with GGA-PBE.

Computed properties:
calculated volume = 129 Å³/cell
formation energy from raw total energies = 0.459 eV per atom
energy above the most stable polymorph in this dataset = 198 meV per atom

Lattice parameters (Å, degrees): 9.3711 9.3711 9.3711 156.70 156.70 33.19
Positions (direct):
Sb  0.5795  0.5795  0.0000
Cd  0.2500  0.7500  0.5000
Fe  0.0000  0.0000  0.0000
Sb  0.4205  0.4205  0.0000
Cd  0.7500  0.2500  0.5000



12.
Ac2LaEr after structural relaxation, computed with GGA-PBE.

Computed properties:
calculated volume = 155 Å³/cell
energy above the most stable polymorph in this dataset = 0 meV per atom
formation energy from the elements = 0.03 eV per atom

Lattice parameters (Å, degrees): 5.3146 5.4081 5.4081 90.00 90.00 90.00
Positions (direct):
Ac  0.0000  0.0000  0.5000
Er  0.5000  0.0000  0.0000
La  0.5000  0.5000  0.5000
Ac  0.0000  0.5000  0.0000



13.
PmZnSe2 after structural relaxation, computed with GGA-PBE.

Computed properties:
calculated volume = 109 Å³/cell
formation energy from raw total energies = -0.429 eV per atom

Lattice parameters (Å, degrees): 3.8528 3.8528 8.8032 77.36 77.36 60.00
Positions (direct):
Se  0.8899  0.8899  0.3303
Zn  0.5000  0.5000  0.5000
Se  0.1101  0.1101  0.6697
Pm  0.0000  0.0000  0.0000



14.
LaHgAu10 after structural relaxation, computed with GGA-PBE.

Computed properties:
calculated volume = 257 Å³/cell
formation energy from the elements = -0.21 eV per atom

Lattice parameters (Å, degrees): 4.6945 5.7133 9.5880 90.00 90.00 90.00
Positions (direct):
Au  0.5000  0.0000  0.5000
Au  0.5000  0.5000  0.0000
Au  0.0000  0.5000  0.8175
Au  0.5000  0.2407  0.7601
Au  0.0000  0.0000  0.6619
Au  0.0000  0.0000  0.3381
Au  0.5000  0.7593  0.2399
Au  0.0000  0.5000  0.1825
Hg  0.0000  0.5000  0.5000
Au  0.5000  0.2407  0.2399
Au  0.5000  0.7593  0.7601
La  0.0000  0.0000  0.0000



15.
In2CoSb after structural relaxation, computed with GGA-PBE.

Computed properties:
calculated volume = 88 Å³/cell
formation energy from raw total energies = 0.140 eV per atom

Lattice parameters (Å, degrees): 7.2286 7.2286 4.2030 73.01 73.01 24.89
Positions (direct):
Sb  0.7500  0.7500  0.7500
Co  0.2500  0.2500  0.2500
In  0.9285  0.9285  0.0711
In  0.5715  0.5715  0.4289



16.
FeRe8W2 after structural relaxation, computed with GGA-PBE.

Computed properties:
calculated volume = 175 Å³/cell
formation energy from the elements = 0.34 eV per atom

Lattice parameters (Å, degrees): 5.0576 4.4888 11.7049 88.97 138.72 90.59
Positions (direct):
Re  0.3548  0.2434  0.8882
Re  0.4828  0.2526  0.6862
Re  0.0620  0.2662  0.2051
Re  0.5172  0.7474  0.3138
Re  0.6452  0.7566  0.1118
Re  0.9380  0.7338  0.7949
Fe  0.0000  0.0000  0.0000
Re  0.1965  0.7466  0.6739
W  0.2780  0.7533  0.4565
Re  0.8035  0.2534  0.3261
W  0.7220  0.2467  0.5435



17.
NaCrAg2Se4 after structural relaxation, computed with GGA-PBE.

Computed properties:
calculated volume = 197 Å³/cell
formation energy from raw total energies = -0.328 eV per atom

Lattice parameters (Å, degrees): 7.1354 6.3617 6.3617 74.75 55.89 55.89
Positions (direct):
Ag  0.5000  0.2562  0.7438
Ag  0.5000  0.7438  0.2562
Na  0.0000  0.0000  0.0000
Cr  0.0000  0.5000  0.5000
Se  0.0008  0.4814  0.1434
Se  0.6255  0.5186  0.8566
Se  0.9992  0.8566  0.5186
Se  0.3745  0.1434  0.4814



18.
PmGdZn after structural relaxation, computed with GGA-PBE.

Computed properties:
calculated volume = 90 Å³/cell
energy above the most stable polymorph in this dataset = 219 meV per atom
formation energy from the elements = 0.00 eV per atom

Lattice parameters (Å, degrees): 5.0348 5.0348 5.0348 60.00 60.00 60.00
Positions (direct):
Gd  0.0000  0.0000  0.0000
Pm  0.5000  0.5000  0.5000
Zn  0.2500  0.2500  0.2500



19.
Ba3Li2Ag2Au4 after structural relaxation, computed with GGA-PBE.

Computed properties:
calculated volume = 321 Å³/cell
formation energy from the elements = -0.48 eV per atom

Lattice parameters (Å, degrees): 4.8165 4.8165 15.9810 90.00 90.00 120.00
Positions (direct):
Ag  0.3333  0.6667  0.1388
Ba  0.0000  0.0000  0.0000
Au  0.6667  0.3333  0.6051
Au  0.6667  0.3333  0.1369
Li  0.3333  0.6667  0.5577
Ag  0.6667  0.3333  0.8612
Ba  0.0000  0.0000  0.2727
Ba  0.0000  0.0000  0.7273
Au  0.3333  0.6667  0.3949
Au  0.3333  0.6667  0.8631
Li  0.6667  0.3333  0.4423



20.
SmTmCo2 after structural relaxation, computed with GGA-PBE.

Computed properties:
calculated volume = 75 Å³/cell
energy above the most stable polymorph in this dataset = 70 meV per atom
formation energy from the elements = -0.11 eV per atom

Lattice parameters (Å, degrees): 4.7412 4.7412 4.7412 60.00 60.00 60.00
Positions (direct):
Sm  0.5000  0.5000  0.5000
Co  0.2500  0.2500  0.2500
Co  0.7500  0.7500  0.7500
Tm  0.0000  0.0000  0.0000